## B2SbI (PBE)

Data for a relaxed B2SbI crystal.

Summary:
* total DFT energy (no corrections): -2.843 eV/atom
* space-group type: No. 225
* formation energy without anion corrections: 1914 meV/atom

Unit cell a=4.6443 b=4.6443 c=4.6443 alpha=60.00 beta=60.00 gamma=60.00
Atoms (fractional coordinates):
B1 0.2500 0.2500 0.2500
B2 0.7500 0.7500 0.7500
Sb1 0.0000 0.0000 0.0000
I1 0.5000 0.5000 0.5000